The following is a GGA-PBE calculation of a relaxed Ba2ZnO crystal, from the Alexandria database.

Energy above the most stable polymorph in this dataset: 0.2803 eV/atom
Uncorrected formation energy: -917 meV/atom
Total energy: -13.74 eV for the cell shown

a b c (Å): 10.184 10.184 10.184
angles (deg): 22.19 22.19 22.19
Fractional coordinates of all 4 atoms:
Ba1 0.115 0.115 0.115
Ba2 0.885 0.885 0.885
Zn1 0.000 0.000 0.000
O1 0.500 0.500 0.500


The following is a GGA-PBE calculation of a relaxed BaZn2O3 crystal, from the Alexandria database.

Energy above the most stable polymorph in this dataset: 0.0000 eV/atom
Uncorrected formation energy: -1771 meV/atom
Total energy: -29.97 eV for the cell shown

a b c (Å): 6.035 6.035 6.035
angles (deg): 145.44 137.53 55.86
Fractional coordinates of all 6 atoms:
Ba1 0.000 0.000 0.000
Zn1 0.311 0.311 0.000
Zn2 0.689 0.689 0.000
O1 0.214 0.714 0.500
O2 0.500 0.500 0.000
O3 0.786 0.286 0.500


The following is a GGA-PBE calculation of a relaxed Ba4ZnO crystal, from the Alexandria database.

Uncorrected formation energy: -849 meV/atom
Total energy: -38.03 eV for the cell shown

a b c (Å): 7.099 10.935 7.106
angles (deg): 90.00 96.56 90.00
Fractional coordinates of all 12 atoms:
Ba1 0.170 0.250 0.287
Ba2 0.213 0.750 0.331
Ba3 0.282 0.052 0.781
Ba4 0.282 0.448 0.781
Ba5 0.718 0.552 0.219
Ba6 0.718 0.948 0.219
Ba7 0.787 0.250 0.669
Ba8 0.830 0.750 0.713
Zn1 0.383 0.750 0.884
Zn2 0.617 0.250 0.116
O1 0.139 0.250 0.638
O2 0.861 0.750 0.362


The following is a GGA-PBE calculation of a relaxed BaZn2O crystal, from the Alexandria database.

Uncorrected formation energy: -575 meV/atom
Total energy: -23.46 eV for the cell shown

a b c (Å): 6.476 6.476 6.476
angles (deg): 99.10 99.10 133.13
Fractional coordinates of all 8 atoms:
Ba1 0.000 0.000 0.000
Ba2 0.750 0.250 0.500
Zn1 0.187 0.125 0.562
Zn2 0.375 0.813 0.938
Zn3 0.563 0.625 0.438
Zn4 0.875 0.437 0.062
O1 0.250 0.750 0.500
O2 0.500 0.500 0.000


The following is a GGA-PBE calculation of a relaxed Ba2ZnO crystal, from the Alexandria database.

Energy above the most stable polymorph in this dataset: 0.0000 eV/atom
Uncorrected formation energy: -1197 meV/atom
Total energy: -29.73 eV for the cell shown

a b c (Å): 7.233 7.233 7.233
angles (deg): 116.40 116.40 96.35
Fractional coordinates of all 8 atoms:
Ba1 0.033 0.625 0.908
Ba2 0.375 0.283 0.408
Ba3 0.717 0.125 0.092
Ba4 0.875 0.967 0.592
Zn1 0.250 0.750 0.500
Zn2 0.500 0.500 0.000
O1 0.000 0.000 0.000
O2 0.750 0.250 0.500


The following is a GGA-PBE calculation of a relaxed BaZnO2 crystal, from the Alexandria database.

Uncorrected formation energy: -1944 meV/atom
Total energy: -83.55 eV for the cell shown

a b c (Å): 6.454 7.489 5.933
angles (deg): 90.00 90.00 90.00
Fractional coordinates of all 16 atoms:
Ba1 0.139 0.111 0.000
Ba2 0.361 0.611 0.500
Ba3 0.639 0.389 0.000
Ba4 0.861 0.889 0.500
Zn1 0.074 0.632 0.007
Zn2 0.426 0.132 0.507
Zn3 0.574 0.868 0.007
Zn4 0.926 0.368 0.507
O1 0.001 0.414 0.830
O2 0.117 0.158 0.445
O3 0.383 0.658 0.945
O4 0.499 0.914 0.330
O5 0.501 0.086 0.830
O6 0.617 0.342 0.445
O7 0.883 0.842 0.945
O8 0.999 0.586 0.330